Computed, not measured: a relaxed structure of RhCl4 at the PBE-GGA level of DFT.

Output
total magnetization: 0.9 μB per cell
formation energy without anion corrections: 0.0585 eV/atom
space-group type: Pm-3m
crystal system: cubic
raw total energy: -2.89 eV per atom

```
RhCl4
1.0
4.771 0.000 0.000
0.000 4.771 0.000
0.000 0.000 4.771
Rh Cl
1 4
Direct
0.500 0.500 0.500
0.000 0.000 0.000
0.500 0.000 0.500
0.000 0.500 0.500
0.500 0.500 0.000
```